# 1
Density functional theory data (PBE) for a geometry-optimized K3Zn2Cl7 structure.

Values from the calculation:
Total DFT energy (no corrections) in eV per atom: -3.07

abc: 4.9264 4.9264 25.0456
angles: 90.00 90.00 90.00
Space group I4/mmm (No. 139)
One atom of each set of equivalent atoms:
K 0.0000 0.0000 0.0000
K 0.0000 0.0000 0.1808
Zn 0.0000 0.0000 0.3983
Cl 0.0000 0.0000 0.3030
Cl 0.0000 0.0000 0.5000
Cl 0.0000 0.5000 0.0959


# 2
Density functional theory data (PBE) for a geometry-optimized Hf4GaBiC2 structure.

Values from the calculation:
Total DFT energy (no corrections) in eV per atom: -8.84

abc: 3.3529 3.3529 14.2405
angles: 90.00 90.00 120.00
Space group P-6m2 (No. 187)
One atom of each set of equivalent atoms:
Hf 0.0000 0.0000 0.1575
Hf 0.6667 0.3333 0.3280
Ga 0.6667 0.3333 0.0000
Bi 0.0000 0.0000 0.5000
C 0.3333 0.6667 0.2438


# 3
Density functional theory data (PBE) for a geometry-optimized ReTc2Ir structure.

Values from the calculation:
Calculated formation energy in eV/atom: 0.379

abc: 6.2020 6.2020 6.2020
angles: 90.00 90.00 90.00
Space group F-43m (No. 216)
One atom of each set of equivalent atoms:
Re 0.0000 0.0000 0.0000
Tc 0.0000 0.0000 0.5000
Tc 0.2500 0.2500 0.7500
Ir 0.2500 0.2500 0.2500


# 4
Density functional theory data (PBE) for a geometry-optimized PrGd2Mg3Ir3 structure.

Values from the calculation:
Total DFT energy (no corrections) in eV per atom: -5.67

abc: 4.1031 12.7462 7.3399
angles: 90.00 90.00 90.00
Space group Amm2 (No. 38)
One atom of each set of equivalent atoms:
Pr 0.0000 0.0000 0.0000
Gd 0.0000 0.2045 0.6169
Mg 0.5000 0.0000 0.6538
Mg 0.5000 0.1222 0.2930
Ir 0.0000 0.0000 0.4174
Ir 0.5000 0.1704 0.9115